The following is a PBE calculation of a relaxed structure of TiP2WCl, from Alexandria.

## Properties
* DOS at the Fermi energy: 2.05 states/eV/atom
* space-group type: P4/mmm
* relative energy among the computed polymorphs: 0.000 eV per atom
* calculated density: 5.24 g cm⁻³
* formation energy without anion corrections: 0.625 eV per atom
* DFT total energy: -6.08 eV/atom

Cell lengths 4.6918, 4.6918, 4.7339 Å; angles 90.00, 90.00, 90.00 degrees
Closest atoms and distances in Å follow each position.
Sites, in units of the cell vectors:
Ti (0.0000, 0.0000, 0.0000)  4 Cl 3.32, 8 P 3.33
P (0.0000, 0.5000, 0.5000)  2 W 2.35
P (0.5000, 0.0000, 0.5000)  2 W 2.35
W (0.5000, 0.5000, 0.5000)  4 P 2.35, 2 Cl 2.37
Cl (0.5000, 0.5000, 0.0000)  2 W 2.37

The following is a PBE calculation of a relaxed structure of Tb4HoSc2, from Alexandria.

## Properties
* DOS at the Fermi energy: 1.54 states/eV/atom
* space-group type: R-3m
* relative energy among the computed polymorphs: 0.000 eV per atom
* calculated density: 7.14 g cm⁻³
* formation energy from the elements: 0.0244 eV/atom
* DFT total energy: -5.08 eV/atom

Cell lengths 19.6553, 19.6553, 19.6553 Å; angles 10.21, 10.21, 10.21 degrees
Closest atoms and distances in Å follow each position.
Sites, in units of the cell vectors:
Tb (0.0990, 0.0990, 0.0990)  3 Sc 3.39, 9 Tb 3.50-3.56
Tb (0.3824, 0.3824, 0.3824)  9 Tb 3.50-3.56, 3 Ho 3.52
Tb (0.6176, 0.6176, 0.6176)  9 Tb 3.50-3.56, 3 Ho 3.52
Tb (0.9010, 0.9010, 0.9010)  3 Sc 3.39, 9 Tb 3.50-3.56
Ho (0.0000, 0.0000, 0.0000)  6 Ho 3.50, 6 Tb 3.52
Sc (0.1880, 0.1880, 0.1880)  9 Sc 3.21-3.50, 3 Tb 3.39
Sc (0.8120, 0.8120, 0.8120)  9 Sc 3.21-3.50, 3 Tb 3.39

The following is a PBE calculation of a relaxed structure of TbZrCuOs, from Alexandria.

## Properties
* DOS at the Fermi energy: 0.74 states/eV/atom
* space-group type: F-43m
* calculated density: 10.97 g cm⁻³
* formation energy from the elements: -0.2388 eV/atom
* DFT total energy: -7.36 eV/atom

Cell lengths 4.7600, 4.7600, 4.7600 Å; angles 60.00, 60.00, 60.00 degrees
Closest atoms and distances in Å follow each position.
Sites, in units of the cell vectors:
Tb (0.0000, 0.0000, 0.0000)  4 Os 2.91, 4 Cu 2.91
Zr (0.5000, 0.5000, 0.5000)  4 Os 2.91, 4 Cu 2.91
Cu (0.2500, 0.2500, 0.2500)  4 Zr 2.91, 4 Tb 2.91
Os (0.7500, 0.7500, 0.7500)  4 Zr 2.91, 4 Tb 2.91

The following is a PBE calculation of a relaxed structure of Na2TbYTe4, from Alexandria.

## Properties
* space-group type: P2/m
* calculated density: 5.18 g cm⁻³
* formation energy without anion corrections: -1.326 eV per atom
* DFT total energy: -4.61 eV/atom

Cell lengths 7.6786, 4.4363, 7.9950 Å; angles 90.00, 108.68, 90.00 degrees
Closest atoms and distances in Å follow each position.
Sites, in units of the cell vectors:
Na (0.0000, 0.0000, 0.0000)  6 Te 3.27
Na (0.5000, 0.5000, 0.0000)  6 Te 3.26
Tb (0.0000, 0.5000, 0.5000)  6 Te 3.11
Y (0.5000, 0.0000, 0.5000)  6 Te 3.10-3.11
Te (0.2448, 0.0000, 0.7327)  1 Y 3.10, 2 Tb 3.11, 3 Na 3.26-3.27
Te (0.2565, 0.5000, 0.2676)  2 Y 3.11, 1 Tb 3.11, 3 Na 3.26-3.27
Te (0.7435, 0.5000, 0.7324)  2 Y 3.11, 1 Tb 3.11, 3 Na 3.26-3.27
Te (0.7552, 0.0000, 0.2673)  1 Y 3.10, 2 Tb 3.11, 3 Na 3.26-3.27

The following is a PBE calculation of a relaxed structure of Cd3ReAu, from Alexandria.

## Properties
* DOS at the Fermi energy: 0.80 states/eV/atom
* space-group type: Pm-3m
* relative energy among the computed polymorphs: 0.000 eV per atom
* calculated density: 8.06 g cm⁻³
* formation energy from the elements: 1.2142 eV/atom
* DFT total energy: -2.48 eV/atom

Cell lengths 5.2945, 5.2945, 5.2945 Å; angles 90.00, 90.00, 90.00 degrees
Closest atoms and distances in Å follow each position.
Sites, in units of the cell vectors:
Cd (0.0000, 0.0000, 0.5000)  2 Re 2.65
Cd (0.0000, 0.5000, 0.0000)  2 Re 2.65
Cd (0.5000, 0.0000, 0.0000)  2 Re 2.65
Re (0.0000, 0.0000, 0.0000)  6 Cd 2.65
Au (0.5000, 0.5000, 0.5000)  12 Cd 3.74

The following is a PBE calculation of a relaxed structure of Li6Ag5Sn, from Alexandria.

## Properties
* DOS at the Fermi energy: 0.31 states/eV/atom
* space-group type: C2/m
* relative energy among the computed polymorphs: 0.000 eV per atom
* calculated density: 5.90 g cm⁻³
* formation energy from the elements: -0.2452 eV/atom
* DFT total energy: -2.72 eV/atom

Cell lengths 7.8344, 7.8344, 4.5605 Å; angles 106.90, 106.90, 120.13 degrees
Closest atoms and distances in Å follow each position.
Sites, in units of the cell vectors:
Li (0.0738, 0.4130, 0.7431)  7 Ag 2.72-2.81, 1 Sn 2.82
Li (0.2369, 0.2369, 0.2367)  6 Ag 2.73-2.76, 2 Sn 2.83, 1 Li 3.01
Li (0.4130, 0.0738, 0.7431)  7 Ag 2.72-2.81, 1 Sn 2.82
Li (0.5870, 0.9262, 0.2569)  7 Ag 2.72-2.81, 1 Sn 2.82
Li (0.7631, 0.7631, 0.7633)  6 Ag 2.73-2.76, 2 Sn 2.83, 1 Li 3.01
Li (0.9262, 0.5870, 0.2569)  7 Ag 2.72-2.81, 1 Sn 2.82
Ag (0.0000, 0.0000, 0.5000)  8 Li 2.73-2.77
Ag (0.1700, 0.8300, 0.0000)  8 Li 2.72-2.76
Ag (0.3381, 0.6619, 0.5000)  8 Li 2.76-2.81
Ag (0.6619, 0.3381, 0.5000)  8 Li 2.76-2.81
Ag (0.8300, 0.1700, 0.0000)  8 Li 2.72-2.76
Sn (0.5000, 0.5000, 0.0000)  8 Li 2.82-2.83

Among the records above, which one has the highest DFT total energy?
Cd3ReAu